[1]
Compound: ErTl2BiSe4
Source: Alexandria via LeMat-Bulk
Functional: PBE
Structure: optimized geometry

Results
Spin magnetization (μB/atom): 0.000

Unit cell a=7.361 b=4.226 c=8.084 alpha=90.00 beta=107.53 gamma=90.00
Space group P2/m (No. 10)
One atom of each set of equivalent atoms:
Er: 0.000 0.000 0.000
Tl: 0.000 0.500 0.500
Tl: 0.500 0.000 0.500
Bi: 0.500 0.500 0.000
Se: 0.226 0.500 0.205
Se: 0.253 0.000 0.789

[2]
Compound: Er3Tl4BiSe8
Source: Alexandria via LeMat-Bulk
Functional: PBE
Structure: optimized geometry

Results
Spin magnetization (μB/atom): 0.000

Unit cell a=8.3926 b=8.3926 c=23.2430 alpha=90.00 beta=90.00 gamma=120.00
Space group R-3m (No. 166, hexagonal axes)
One atom of each set of equivalent atoms:
Er: 0.0000 0.5000 0.0000
Tl: 0.0000 0.0000 0.5000
Tl: 0.0000 0.5000 0.5000
Bi: 0.0000 0.0000 0.0000
Se: 0.0000 0.0000 0.2662
Se: 0.0090 0.5045 0.2647

[3]
Compound: ErTmBiSe
Source: Alexandria via LeMat-Bulk
Functional: PBE
Structure: optimized geometry

Results
Spin magnetization (μB/atom): 0.000

Unit cell a=4.1659 b=4.1659 c=21.6612 alpha=90.00 beta=90.00 gamma=120.00
Space group R3m (No. 160, hexagonal axes)
One atom of each set of equivalent atoms:
Er: 0.0000 0.0000 0.0000
Tm: 0.0000 0.0000 0.8169
Bi: 0.0000 0.0000 0.2412
Se: 0.0000 0.0000 0.4124

[4]
Compound: YErBiSe
Source: Alexandria via LeMat-Bulk
Functional: PBE
Structure: optimized geometry

Results
Spin magnetization (μB/atom): 0.138

Unit cell a=4.1649 b=4.1649 c=22.4792 alpha=90.00 beta=90.00 gamma=120.00
Space group R3m (No. 160, hexagonal axes)
One atom of each set of equivalent atoms:
Y: 0.0000 0.0000 0.0000
Er: 0.0000 0.0000 0.1626
Bi: 0.0000 0.0000 0.5791
Se: 0.0000 0.0000 0.7508

[5]
Compound: Er5Si2Bi2
Source: Alexandria via LeMat-Bulk
Functional: PBE
Structure: optimized geometry

Results
Spin magnetization (μB/atom): 0.000
Distance to the lowest polymorph of the same formula (meV/atom): 0

Unit cell a=15.258 b=7.855 c=7.871 alpha=90.00 beta=90.00 gamma=90.00
Space group Cmce (No. 64)
One atom of each set of equivalent atoms:
Er: 0.000 0.000 0.000
Er: 0.121 0.163 0.336
Si: 0.000 0.137 0.635
Bi: 0.207 0.000 0.000

[6]
Compound: Er3SiBi
Source: Alexandria via LeMat-Bulk
Functional: PBE
Structure: optimized geometry

Results
Spin magnetization (μB/atom): 0.000

Unit cell a=13.456 b=7.545 c=12.333 alpha=90.00 beta=109.46 gamma=90.00
Space group C2/c (No. 15)
One atom of each set of equivalent atoms:
Er: 0.066 0.243 0.058
Er: 0.145 0.057 0.806
Er: 0.176 0.435 0.376
Si: 0.000 0.223 0.250
Si: 0.250 0.250 0.000
Bi: 0.143 0.354 0.627

[7]
Compound: Er7Si5Bi
Source: Alexandria via LeMat-Bulk
Functional: PBE
Structure: optimized geometry

Results
Spin magnetization (μB/atom): 0.000

Unit cell a=5.804 b=10.692 c=9.833 alpha=90.00 beta=90.00 gamma=90.00
Space group Imm2 (No. 44)
One atom of each set of equivalent atoms:
Er: 0.000 0.000 0.000
Er: 0.000 0.000 0.371
Er: 0.000 0.329 0.637
Er: 0.000 0.332 0.091
Er: 0.000 0.500 0.355
Si: 0.000 0.500 0.863
Si: 0.215 0.255 0.368
Bi: 0.000 0.000 0.680

[8]
Compound: Er6SiBi2
Source: Alexandria via LeMat-Bulk
Functional: PBE
Structure: optimized geometry

Results
Spin magnetization (μB/atom): 0.000

Unit cell a=6.306 b=8.075 c=11.881 alpha=90.00 beta=121.26 gamma=90.00
Space group P2_1/c (No. 14)
One atom of each set of equivalent atoms:
Er: 0.090 0.190 0.457
Er: 0.326 0.674 0.458
Er: 0.367 0.031 0.238
Si: 0.500 0.000 0.500
Bi: 0.148 0.113 0.746

Number 1: DFT total energy -4.303 eV per atom, ΔE_f (raw) -0.91 eV per atom. Number 2: DFT total energy -4.578 eV per atom, ΔE_f (raw) -1.15 eV per atom. Number 3: DFT total energy -5.270 eV per atom, ΔE_f (raw) -1.17 eV per atom. Number 4: DFT total energy -5.760 eV per atom, ΔE_f (raw) -1.16 eV per atom. Number 5: DFT total energy -5.386 eV per atom, ΔE_f (raw) -0.78 eV per atom. Number 6: DFT total energy -5.057 eV per atom, ΔE_f (raw) -0.46 eV per atom. Number 7: DFT total energy -5.297 eV per atom, ΔE_f (raw) -0.46 eV per atom. Number 8: DFT total energy -4.995 eV per atom, ΔE_f (raw) -0.49 eV per atom.